i) Computed, not measured: a relaxed NiWS2N crystal at the PBE level of DFT.

Output
space group: No. 123
calculated volume: 14.369 Å³ per atom

abc: 4.6280 4.6280 3.3543
angles: 90.00 90.00 90.00
With the nearest neighbours (Å) after each atom.
Fractional positions:
Ni1 0.0000 0.0000 0.0000  2 N 1.68
W1 0.5000 0.5000 0.5000  8 S 2.86
S1 0.5000 0.0000 0.0000  2 Ni 2.31
S2 0.0000 0.5000 0.0000  2 Ni 2.31
N1 0.0000 0.0000 0.5000  2 Ni 1.68

ii) Computed, not measured: a relaxed NiWS2N crystal at the PBE level of DFT.

Output
space group: No. 123
calculated volume: 17.312 Å³ per atom

abc: 4.7813 4.7813 3.7864
angles: 90.00 90.00 90.00
With the nearest neighbours (Å) after each atom.
Fractional positions:
W1 0.0000 0.0000 0.0000  2 N 1.89
N1 0.0000 0.0000 0.5000  2 W 1.89
S1 0.0000 0.5000 0.0000  2 W 2.39
S2 0.5000 0.0000 0.0000  2 W 2.39
Ni1 0.5000 0.5000 0.5000  8 S 3.05, 4 N 3.38

The least stable of them is i).

i) Computed, not measured: a relaxed YNiS2N crystal at the PBE level of DFT.

Output
space group: No. 123
calculated volume: 23.471 Å³ per atom

abc: 5.2408 5.2408 4.2728
angles: 90.00 90.00 90.00
With the nearest neighbours (Å) after each atom.
Fractional positions:
S1 0.5000 0.0000 0.0000  2 Y 2.62
S2 0.0000 0.5000 0.0000  2 Y 2.62
Ni1 0.5000 0.5000 0.5000  8 S 3.38, 4 N 3.71
N1 0.0000 0.0000 0.5000  2 Y 2.14
Y1 0.0000 0.0000 0.0000  2 N 2.14

ii) Computed, not measured: a relaxed YNiS2N crystal at the PBE level of DFT.

Output
space group: No. 123
calculated volume: 15.594 Å³ per atom

abc: 4.6623 4.6623 3.5870
angles: 90.00 90.00 90.00
With the nearest neighbours (Å) after each atom.
Fractional positions:
S1 0.0000 0.5000 0.0000  2 Ni 2.33
S2 0.5000 0.0000 0.0000  2 Ni 2.33
N1 0.0000 0.0000 0.5000  2 Ni 1.79
Y1 0.5000 0.5000 0.5000  8 S 2.94
Ni1 0.0000 0.0000 0.0000  2 N 1.79

The least stable of them is i).

i) Computed, not measured: a relaxed YNiSN2 crystal at the PBE level of DFT.

Output
space group: No. 123
calculated volume: 13.319 Å³ per atom

abc: 3.8491 3.8491 4.4950
angles: 90.00 90.00 90.00
With the nearest neighbours (Å) after each atom.
Fractional positions:
Y1 0.5000 0.5000 0.5000  4 S 2.72, 8 N 2.96
S1 0.0000 0.0000 0.5000  2 Ni 2.25
Ni1 0.0000 0.0000 0.0000  4 N 1.92
N1 0.5000 0.0000 0.0000  2 Ni 1.92
N2 0.0000 0.5000 0.0000  2 Ni 1.92

ii) Computed, not measured: a relaxed YNiSN2 crystal at the PBE level of DFT.

Output
space group: No. 123
calculated volume: 20.781 Å³ per atom

abc: 4.3821 4.3821 5.4110
angles: 90.00 90.00 90.00
With the nearest neighbours (Å) after each atom.
Fractional positions:
S1 0.0000 0.0000 0.5000  2 Y 2.71
N1 0.0000 0.5000 0.0000  2 Y 2.19
N2 0.5000 0.0000 0.0000  2 Y 2.19
Ni1 0.5000 0.5000 0.5000  4 S 3.10
Y1 0.0000 0.0000 0.0000  4 N 2.19

The least stable of them is ii).